1.
Here is a relaxed BaZnFe crystal from Alexandria via LeMat-Bulk. Energies are from PBE.

a b c (Å): 5.305 5.305 5.305
angles (deg): 60.00 60.00 60.00
Fractional coordinates of all 3 atoms:
Ba 0.750 0.750 0.750
Zn 0.500 0.500 0.500
Fe 0.000 0.000 0.000

Calculated values
Symmetry ... F-43m, No. 216
Total magnetization ... 2.81 μB per cell
Calculated total energy ... -8.482 eV for the cell shown

2.
Here is a relaxed BaZnFe crystal from Alexandria via LeMat-Bulk. Energies are from PBE.

a b c (Å): 6.282 6.282 6.282
angles (deg): 147.19 147.19 47.08
Fractional coordinates of all 3 atoms:
Zn 0.723 0.723 0.000
Fe 0.277 0.277 0.000
Ba 0.000 0.000 0.000

Calculated values
Symmetry ... I4mm, No. 107
Total magnetization ... 2.33 μB per cell
Calculated total energy ... -10.490 eV for the cell shown

3.
Here is a relaxed BaZnFe2 crystal from Alexandria via LeMat-Bulk. Energies are from PBE.

a b c (Å): 4.695 4.695 3.611
angles (deg): 90.00 90.00 90.08
Fractional coordinates of all 4 atoms:
Fe 0.000 0.000 0.000
Fe 0.500 0.500 0.000
Zn 0.500 0.000 0.500
Ba 0.000 0.500 0.500

Calculated values
Symmetry ... Cmmm, No. 65
Total magnetization ... 4.79 μB per cell
Calculated total energy ... -16.279 eV for the cell shown

4.
Here is a relaxed BaZnFe2 crystal from Alexandria via LeMat-Bulk. Energies are from PBE.

a b c (Å): 4.944 4.944 4.944
angles (deg): 120.16 120.16 89.73
Fractional coordinates of all 4 atoms:
Ba 0.750 0.250 0.500
Fe 0.250 0.750 0.500
Fe 0.000 0.000 0.000
Zn 0.500 0.500 0.000

Calculated values
Symmetry ... I-4m2, No. 119
Total magnetization ... 5.71 μB per cell
Calculated total energy ... -16.983 eV for the cell shown

5.
Here is a relaxed Ba4ZnFe crystal from Alexandria via LeMat-Bulk. Energies are from PBE.

a b c (Å): 7.225 7.225 7.225
angles (deg): 60.00 60.00 60.00
Fractional coordinates of all 6 atoms:
Fe 0.750 0.750 0.750
Zn 0.000 0.000 0.000
Ba 0.375 0.375 0.375
Ba 0.375 0.875 0.375
Ba 0.375 0.375 0.875
Ba 0.875 0.375 0.375

Calculated values
Symmetry ... F-43m, No. 216
Total magnetization ... 1.20 μB per cell
Calculated total energy ... -11.769 eV for the cell shown

6.
Here is a relaxed BaZnFe2 crystal from Alexandria via LeMat-Bulk. Energies are from PBE.

a b c (Å): 4.709 4.709 9.481
angles (deg): 75.62 75.62 90.00
Fractional coordinates of all 8 atoms:
Fe 0.375 0.625 0.750
Fe 0.875 0.625 0.750
Fe 0.375 0.125 0.250
Fe 0.375 0.625 0.250
Ba 0.000 0.000 0.000
Ba 0.750 0.250 0.500
Zn 0.500 0.500 0.000
Zn 0.250 0.750 0.500

Calculated values
Symmetry ... I4_1/amd, No. 141
Total magnetization ... 8.78 μB per cell
Calculated total energy ... -36.004 eV for the cell shown

7.
Here is a relaxed Ba2ZnFe crystal from Alexandria via LeMat-Bulk. Energies are from PBE.

a b c (Å): 11.230 11.230 8.293
angles (deg): 47.39 47.39 90.00
Fractional coordinates of all 8 atoms:
Fe 0.250 0.750 0.500
Fe 0.500 0.500 0.000
Ba 0.423 0.125 0.250
Ba 0.875 0.673 0.750
Ba 0.375 0.577 0.750
Ba 0.327 0.625 0.250
Zn 0.750 0.250 0.500
Zn 0.000 0.000 0.000

Calculated values
Symmetry ... I-42d, No. 122
Total magnetization ... 0.00 μB per cell
Calculated total energy ... -23.662 eV for the cell shown

8.
Here is a relaxed BaZn3Fe crystal from Alexandria via LeMat-Bulk. Energies are from PBE.

a b c (Å): 6.074 6.074 6.074
angles (deg): 90.00 90.00 90.00
Fractional coordinates of all 5 atoms:
Zn 0.000 0.000 0.500
Zn 0.500 0.000 0.000
Zn 0.000 0.500 0.000
Fe 0.500 0.500 0.500
Ba 0.000 0.000 0.000

Calculated values
Symmetry ... Pm-3m, No. 221
Total magnetization ... 2.83 μB per cell
Calculated total energy ... -6.831 eV for the cell shown

9.
Here is a relaxed Ba3ZnFe crystal from Alexandria via LeMat-Bulk. Energies are from PBE.

a b c (Å): 5.780 5.780 5.780
angles (deg): 90.00 90.00 90.00
Fractional coordinates of all 5 atoms:
Ba 0.500 0.000 0.000
Ba 0.000 0.500 0.000
Ba 0.000 0.000 0.500
Fe 0.000 0.000 0.000
Zn 0.500 0.500 0.500

Calculated values
Symmetry ... Pm-3m, No. 221
Total magnetization ... 0.00 μB per cell
Calculated total energy ... -13.185 eV for the cell shown

10.
Here is a relaxed BaZnFe2 crystal from Alexandria via LeMat-Bulk. Energies are from PBE.

a b c (Å): 5.676 5.179 3.181
angles (deg): 87.43 74.95 116.34
Fractional coordinates of all 4 atoms:
Fe 0.000 0.500 0.500
Fe 0.000 0.000 0.000
Ba 0.500 0.000 0.500
Zn 0.500 0.500 0.000

Calculated values
Symmetry ... C2/m, No. 12
Total magnetization ... 4.76 μB per cell
Calculated total energy ... -16.339 eV for the cell shown

11.
Here is a relaxed BaZnFe2 crystal from Alexandria via LeMat-Bulk. Energies are from PBE.

a b c (Å): 5.835 5.835 5.835
angles (deg): 148.26 124.30 65.54
Fractional coordinates of all 4 atoms:
Fe 0.940 0.940 0.000
Fe 0.766 0.266 0.500
Ba 0.243 0.743 0.500
Zn 0.551 0.551 0.000

Calculated values
Symmetry ... Imm2, No. 44
Total magnetization ... 4.91 μB per cell
Calculated total energy ... -17.562 eV for the cell shown

12.
Here is a relaxed Ba2ZnFe crystal from Alexandria via LeMat-Bulk. Energies are from PBE.

a b c (Å): 6.367 6.367 6.367
angles (deg): 135.46 135.46 64.82
Fractional coordinates of all 4 atoms:
Ba 0.250 0.750 0.500
Ba 0.000 0.000 0.000
Zn 0.750 0.250 0.500
Fe 0.500 0.500 0.000

Calculated values
Symmetry ... I-4m2, No. 119
Total magnetization ... 2.17 μB per cell
Calculated total energy ... -11.420 eV for the cell shown

13.
Here is a relaxed BaZnFe2 crystal from Alexandria via LeMat-Bulk. Energies are from PBE.

a b c (Å): 5.286 5.286 5.286
angles (deg): 131.45 131.45 71.10
Fractional coordinates of all 4 atoms:
Ba 0.750 0.250 0.500
Fe 0.500 0.500 0.000
Fe 0.000 0.000 0.000
Zn 0.250 0.750 0.500

Calculated values
Symmetry ... I4/mmm, No. 139
Total magnetization ... 4.85 μB per cell
Calculated total energy ... -16.486 eV for the cell shown

14.
Here is a relaxed BaZnFe2 crystal from Alexandria via LeMat-Bulk. Energies are from PBE.

a b c (Å): 3.290 5.082 4.846
angles (deg): 90.00 90.00 90.00
Fractional coordinates of all 4 atoms:
Fe 0.500 0.500 0.000
Fe 0.000 0.000 0.000
Zn 0.500 0.000 0.500
Ba 0.000 0.500 0.500

Calculated values
Symmetry ... Pmmm, No. 47
Total magnetization ... 5.15 μB per cell
Calculated total energy ... -16.488 eV for the cell shown

15.
Here is a relaxed Ba2ZnFe crystal from Alexandria via LeMat-Bulk. Energies are from PBE.

a b c (Å): 4.012 4.020 8.962
angles (deg): 64.43 90.00 90.00
Fractional coordinates of all 4 atoms:
Fe 0.500 0.250 0.250
Zn 0.500 0.750 0.750
Ba 0.000 0.498 0.491
Ba 0.000 0.002 0.009

Calculated values
Symmetry ... P2/m, No. 10
Total magnetization ... 2.28 μB per cell
Calculated total energy ... -12.044 eV for the cell shown

16.
Here is a relaxed Ba2ZnFe crystal from Alexandria via LeMat-Bulk. Energies are from PBE.

a b c (Å): 4.731 4.731 8.609
angles (deg): 77.53 77.53 53.63
Fractional coordinates of all 4 atoms:
Fe 0.750 0.750 0.750
Ba 0.496 0.496 0.523
Ba 0.004 0.004 0.977
Zn 0.250 0.250 0.250

Calculated values
Symmetry ... C2/m, No. 12
Total magnetization ... 2.07 μB per cell
Calculated total energy ... -11.431 eV for the cell shown

17.
Here is a relaxed BaZnFe2 crystal from Alexandria via LeMat-Bulk. Energies are from PBE.

a b c (Å): 4.381 3.246 6.382
angles (deg): 80.18 90.00 90.00
Fractional coordinates of all 4 atoms:
Ba 0.500 0.750 0.750
Fe 0.000 0.039 0.116
Fe 0.000 0.461 0.384
Zn 0.500 0.250 0.250

Calculated values
Symmetry ... P2/m, No. 10
Total magnetization ... 5.30 μB per cell
Calculated total energy ... -18.071 eV for the cell shown

18.
Here is a relaxed Ba2ZnFe crystal from Alexandria via LeMat-Bulk. Energies are from PBE.

a b c (Å): 5.471 5.471 5.471
angles (deg): 60.00 60.00 60.00
Fractional coordinates of all 4 atoms:
Ba 0.000 0.000 0.000
Ba 0.750 0.750 0.750
Fe 0.500 0.500 0.500
Zn 0.250 0.250 0.250

Calculated values
Symmetry ... F-43m, No. 216
Total magnetization ... 3.00 μB per cell
Calculated total energy ... -11.340 eV for the cell shown

19.
Here is a relaxed BaZnFe2 crystal from Alexandria via LeMat-Bulk. Energies are from PBE.

a b c (Å): 4.122 4.122 6.375
angles (deg): 71.12 71.12 60.01
Fractional coordinates of all 4 atoms:
Ba 0.257 0.257 0.229
Zn 0.442 0.442 0.673
Fe 0.066 0.066 0.803
Fe 0.735 0.735 0.795

Calculated values
Symmetry ... R3m, No. 160
Total magnetization ... 2.56 μB per cell
Calculated total energy ... -19.174 eV for the cell shown

20.
Here is a relaxed BaZnFe crystal from Alexandria via LeMat-Bulk. Energies are from PBE.

a b c (Å): 4.891 4.891 4.891
angles (deg): 60.00 60.00 60.00
Fractional coordinates of all 3 atoms:
Fe 0.750 0.750 0.750
Zn 0.000 0.000 0.000
Ba 0.500 0.500 0.500

Calculated values
Symmetry ... F-43m, No. 216
Total magnetization ... 2.11 μB per cell
Calculated total energy ... -9.663 eV for the cell shown

21.
Here is a relaxed Ba2ZnFe crystal from Alexandria via LeMat-Bulk. Energies are from PBE.

a b c (Å): 7.904 7.904 7.904
angles (deg): 147.84 145.15 48.15
Fractional coordinates of all 4 atoms:
Zn 0.334 0.834 0.500
Ba 0.005 0.005 0.000
Ba 0.750 0.250 0.500
Fe 0.411 0.411 0.000

Calculated values
Symmetry ... Imm2, No. 44
Total magnetization ... 1.80 μB per cell
Calculated total energy ... -12.371 eV for the cell shown

22.
Here is a relaxed BaZnFe crystal from Alexandria via LeMat-Bulk. Energies are from PBE.

a b c (Å): 4.395 4.395 4.838
angles (deg): 90.00 90.00 120.00
Fractional coordinates of all 3 atoms:
Ba 0.000 0.000 0.000
Zn 0.333 0.667 0.500
Fe 0.667 0.333 0.500

Calculated values
Symmetry ... P-6m2, No. 187
Total magnetization ... 2.17 μB per cell
Calculated total energy ... -10.641 eV for the cell shown

23.
Here is a relaxed BaZnFe2 crystal from Alexandria via LeMat-Bulk. Energies are from PBE.

a b c (Å): 3.425 3.415 7.039
angles (deg): 90.00 90.00 90.00
Fractional coordinates of all 4 atoms:
Zn 0.500 0.500 0.250
Fe 0.000 0.000 0.097
Fe 0.000 0.000 0.403
Ba 0.500 0.500 0.750

Calculated values
Symmetry ... P4/mmm, No. 123
Total magnetization ... 5.16 μB per cell
Calculated total energy ... -18.079 eV for the cell shown

24.
Here is a relaxed Ba2ZnFe crystal from Alexandria via LeMat-Bulk. Energies are from PBE.

a b c (Å): 5.760 5.762 3.918
angles (deg): 90.00 90.00 90.00
Fractional coordinates of all 4 atoms:
Ba 0.000 0.000 0.000
Ba 0.500 0.500 0.000
Fe 0.500 0.000 0.500
Zn 0.000 0.500 0.500

Calculated values
Symmetry ... P4/mmm, No. 123
Total magnetization ... 2.60 μB per cell
Calculated total energy ... -12.013 eV for the cell shown

25.
Here is a relaxed BaZnFe2 crystal from Alexandria via LeMat-Bulk. Energies are from PBE.

a b c (Å): 3.211 3.245 8.284
angles (deg): 66.90 90.00 90.00
Fractional coordinates of all 4 atoms:
Fe 0.500 0.275 0.225
Fe 0.000 0.906 0.094
Zn 0.000 0.581 0.420
Ba 0.500 0.738 0.762

Calculated values
Symmetry ... Pmm2, No. 25
Total magnetization ... 4.93 μB per cell
Calculated total energy ... -18.583 eV for the cell shown

26.
Here is a relaxed BaZn3Fe crystal from Alexandria via LeMat-Bulk. Energies are from PBE.

a b c (Å): 4.825 4.825 4.825
angles (deg): 90.00 90.00 90.00
Fractional coordinates of all 5 atoms:
Fe 0.000 0.000 0.000
Zn 0.500 0.000 0.000
Zn 0.000 0.500 0.000
Zn 0.000 0.000 0.500
Ba 0.500 0.500 0.500

Calculated values
Symmetry ... Pm-3m, No. 221
Total magnetization ... 0.73 μB per cell
Calculated total energy ... -14.048 eV for the cell shown

27.
Here is a relaxed Ba2ZnFe crystal from Alexandria via LeMat-Bulk. Energies are from PBE.

a b c (Å): 4.558 4.838 6.752
angles (deg): 69.11 90.00 90.00
Fractional coordinates of all 4 atoms:
Ba 0.500 0.268 0.340
Ba 0.000 0.989 0.897
Fe 0.000 0.664 0.546
Zn 0.500 0.580 0.716

Calculated values
Symmetry ... Pm, No. 6
Total magnetization ... 1.76 μB per cell
Calculated total energy ... -12.568 eV for the cell shown

28.
Here is a relaxed BaZnFe2 crystal from Alexandria via LeMat-Bulk. Energies are from PBE.

a b c (Å): 5.848 5.848 5.848
angles (deg): 149.63 125.29 63.86
Fractional coordinates of all 4 atoms:
Fe 0.537 0.537 0.000
Fe 0.963 0.963 0.000
Ba 0.250 0.750 0.500
Zn 0.750 0.250 0.500

Calculated values
Symmetry ... Immm, No. 71
Total magnetization ... 5.41 μB per cell
Calculated total energy ... -16.896 eV for the cell shown

29.
Here is a relaxed Ba2ZnFe crystal from Alexandria via LeMat-Bulk. Energies are from PBE.

a b c (Å): 3.677 3.677 9.378
angles (deg): 90.00 90.00 90.00
Fractional coordinates of all 4 atoms:
Fe 0.000 0.000 0.586
Ba 0.500 0.500 0.332
Ba 0.000 0.000 0.914
Zn 0.500 0.500 0.667

Calculated values
Symmetry ... P4mm, No. 99
Total magnetization ... 2.37 μB per cell
Calculated total energy ... -12.225 eV for the cell shown

30.
Here is a relaxed BaZrFe3 crystal from Alexandria via LeMat-Bulk. Energies are from PBE.

a b c (Å): 4.987 4.987 4.987
angles (deg): 90.00 90.00 90.00
Fractional coordinates of all 5 atoms:
Fe 0.000 0.000 0.500
Fe 0.500 0.000 0.000
Fe 0.000 0.500 0.000
Zr 0.000 0.000 0.000
Ba 0.500 0.500 0.500

Calculated values
Symmetry ... Pm-3m, No. 221
Total magnetization ... 6.78 μB per cell
Calculated total energy ... -30.769 eV for the cell shown